LiCu4Cl: relaxed, PBE.

Results
space group: F-43m (216)
formation energy (no corrections): 36.7 meV/atom
total moment: 0.0 μB/cell

```
LiCu4Cl
1.0
0.000 3.543 3.543
3.543 0.000 3.543
3.543 3.543 0.000
Cl Cu Li
1 4 1
Cartesian
0.000 0.000 0.000
4.425 4.425 2.661
4.425 2.661 4.425
2.661 2.661 2.661
2.661 4.425 4.425
5.314 5.314 5.314
```